RbLa2Ce2O7 PBE relaxed; E = -7.776 eV per atom; ΔE_f (raw) = -35.91 eV per formula unit; total magnetic moment = 0.749 μB/cell; ρ = 5.4 Mg/m³
1.0
-2.807 0.183 3.744
-3.900 -1.436 -2.854
5.390 -8.856 1.547
O Ce La Rb
7 2 2 1
Direct
0.134 0.623 0.269
0.626 0.082 0.252
0.730 0.738 0.460
0.500 0.480 0.000
0.270 0.279 0.540
0.866 0.354 0.731
0.374 0.830 0.748
0.609 0.633 0.217
0.391 0.416 0.783
0.257 0.768 0.514
0.743 0.254 0.486
0.000 0.042 0.000